Computed, not measured: Cs3InO after structural relaxation at the GGA-PBEsol level of DFT.

Formation energy without anion corrections ... 0.39 eV/atom
Magnetic moment ... 1.038 Bohr magnetons per cell

a b c (Å): 7.061 7.061 7.061
angles (deg): 90.00 90.00 90.00
Site moments in Bohr magnetons follow the coordinates.
Atoms (fractional coordinates):
In1 0.000 0.000 0.000  0.04
Cs1 0.000 0.000 0.500  0.00
Cs2 0.500 0.000 0.000  0.00
O1 0.500 0.500 0.500  0.79
Cs3 0.000 0.500 0.000  0.00